[1]
Material: GdEr2Cu4Si4
Method: DFT, PBE
State: relaxed

It has space group Immm (No. 71), with a = 4.105 Å, b = 6.548 Å, c = 13.635 Å, α = 90.00°, β = 90.00° and γ = 90.00°. Symmetry generates all atoms from Gd at (0.000, 0.000, 0.000), Er at (0.000, 0.500, 0.129), Cu at (0.000, 0.309, 0.331), Si at (0.000, 0.000, 0.218) and Si at (0.000, 0.183, 0.500).

The calculation puts the energy at -5.218 eV/atom. The calculation puts the total magnetic moment at 0.00 μB/f.u.

***

[2]
Material: La2PmGe2
Method: DFT, PBE
State: relaxed

It has space group P4/mbm (No. 127), with a = 7.929 Å, b = 7.929 Å, c = 4.499 Å, α = 90.00°, β = 90.00° and γ = 90.00°. Symmetry generates all atoms from La at (0.175, 0.325, 0.000), Pm at (0.000, 0.000, 0.500) and Ge at (0.119, 0.619, 0.500).

The calculation puts the energy at -5.529 eV/atom. The calculation puts the total magnetic moment at 0.72 μB/f.u.

***

[3]
Material: NaTbHgSe3
Method: DFT, PBE
State: relaxed

It has space group Pnma (No. 62), with a = 12.886 Å, b = 4.161 Å, c = 12.255 Å, α = 90.00°, β = 90.00° and γ = 90.00°. Symmetry generates all atoms from Na at (0.129, 0.250, 0.008), Tb at (0.052, 0.250, 0.672), Hg at (0.234, 0.250, 0.292), Se at (0.061, 0.750, 0.842), Se at (0.075, 0.250, 0.424) and Se at (0.232, 0.750, 0.144).

The calculation puts the total magnetic moment at 0.00 μB/f.u. For the excess energy over the best structure of this formula in the dataset, the calculation gives 8.5 meV per atom.

***

[4]
Material: HoTe3PbAu
Method: DFT, PBE
State: relaxed

It has space group Pnma (No. 62), with a = 13.147 Å, b = 4.459 Å, c = 12.130 Å, α = 90.00°, β = 90.00° and γ = 90.00°. Symmetry generates all atoms from Ho at (0.020, 0.250, 0.189), Te at (0.033, 0.750, 0.366), Te at (0.101, 0.250, 0.947), Te at (0.193, 0.750, 0.677), Pb at (0.221, 0.250, 0.452) and Au at (0.196, 0.750, 0.229).

The calculation puts the total magnetic moment at 0.00 μB/f.u. For the excess energy over the best structure of this formula in the dataset, the calculation gives 31.6 meV per atom.

***

[5]
Material: PrAlGaPd2
Method: DFT, PBE
State: relaxed

It has space group P4/nmm (No. 129, origin choice 2), with a = 4.389 Å, b = 4.389 Å, c = 10.220 Å, α = 90.00°, β = 90.00° and γ = 90.00°. Symmetry generates all atoms from Pr at (0.250, 0.250, 0.244), Al at (0.250, 0.750, 0.500), Ga at (0.250, 0.250, 0.872), Pd at (0.250, 0.250, 0.626) and Pd at (0.250, 0.750, 0.000).

The calculation puts the energy at -5.222 eV/atom. The calculation puts the total magnetic moment at 0.02 μB/f.u.

***

[6]
Material: ScNiSnPd
Method: DFT, PBE
State: relaxed

It has space group F-43m (No. 216), with a = 6.479 Å, b = 6.479 Å, c = 6.479 Å, α = 90.00°, β = 90.00° and γ = 90.00°. Symmetry generates all atoms from Sc at (0.000, 0.000, 0.000), Ni at (0.000, 0.000, 0.500), Sn at (0.250, 0.250, 0.250) and Pd at (0.250, 0.250, 0.750).

The calculation puts the total magnetic moment at 0.00 μB/f.u. For the excess energy over the best structure of this formula in the dataset, the calculation gives 249.0 meV per atom.

***

[7]
Material: Pr5In4Ag
Method: DFT, PBE
State: relaxed

It has space group P4/mmm (No. 123), with a = 3.722 Å, b = 3.722 Å, c = 21.001 Å, α = 90.00°, β = 90.00° and γ = 90.00°. Symmetry generates all atoms from Pr at (0.000, 0.000, 0.000), Pr at (0.000, 0.000, 0.204), Pr at (0.000, 0.000, 0.406), In at (0.500, 0.500, 0.102), In at (0.500, 0.500, 0.307) and Ag at (0.500, 0.500, 0.500).

The calculation puts the energy at -4.213 eV/atom. The calculation puts the total magnetic moment at 0.19 μB/f.u.

***

[8]
Material: CdCuOs2
Method: DFT, PBE
State: relaxed

It has space group F-43m (No. 216), with a = 6.219 Å, b = 6.219 Å, c = 6.219 Å, α = 90.00°, β = 90.00° and γ = 90.00°. Symmetry generates all atoms from Cd at (0.000, 0.000, 0.000), Cu at (0.250, 0.250, 0.750), Os at (0.000, 0.000, 0.500) and Os at (0.250, 0.250, 0.250).

The calculation puts the total magnetic moment at 0.01 μB/f.u. As for the energy relative to the elements: 611 meV per atom.

***

[9]
Material: NaZr
Method: DFT, PBE
State: relaxed

It has space group Pmmn (No. 59, origin choice 2), with a = 5.000 Å, b = 14.174 Å, c = 5.821 Å, α = 90.00°, β = 90.00° and γ = 90.00°. Symmetry generates all atoms from Na at (0.250, 0.150, 0.200), Na at (0.250, 0.250, 0.737), Na at (0.250, 0.750, 0.563), Zr at (0.250, 0.508, 0.620) and Zr at (0.250, 0.561, 0.110).

The calculation puts the total magnetic moment at 0.00 μB/f.u. For the excess energy over the best structure of this formula in the dataset, the calculation gives 257.2 meV per atom.

***

[10]
Material: ErSiB
Method: DFT, PBE
State: relaxed

It has space group F-43m (No. 216), with a = 5.724 Å, b = 5.724 Å, c = 5.724 Å, α = 90.00°, β = 90.00° and γ = 90.00°. Symmetry generates all atoms from Er at (0.000, 0.000, 0.000), Si at (0.000, 0.000, 0.500) and B at (0.250, 0.250, 0.250).

The calculation puts the total magnetic moment at 0.00 μB/f.u. For the excess energy over the best structure of this formula in the dataset, the calculation gives 736.5 meV per atom.

***

[11]
Material: Be9NbMo2
Method: DFT, PBE
State: relaxed

It has space group R-3m (No. 166, hexagonal axes), with a = 4.4463 Å, b = 4.4463 Å, c = 20.8516 Å, α = 90.00°, β = 90.00° and γ = 120.00°. Symmetry generates all atoms from Be at (0.0000, 0.0000, 0.0000), Be at (0.0000, 0.0000, 0.1658), Be at (0.0043, 0.5021, 0.4178), Nb at (0.0000, 0.0000, 0.5000) and Mo at (0.0000, 0.0000, 0.3558).

The calculation puts the energy at -5.738 eV/atom. The calculation puts the total magnetic moment at 0.00 μB/f.u.

***

[12]
Material: NbCuPt
Method: DFT, PBE
State: relaxed

It has space group F-43m (No. 216), with a = 6.018 Å, b = 6.018 Å, c = 6.018 Å, α = 90.00°, β = 90.00° and γ = 90.00°. Symmetry generates all atoms from Nb at (0.000, 0.000, 0.000), Cu at (0.000, 0.000, 0.500) and Pt at (0.250, 0.250, 0.750).

The calculation puts the total magnetic moment at 1.17 μB/f.u. For the excess energy over the best structure of this formula in the dataset, the calculation gives 0.0 meV per atom. As for the energy relative to the elements: 12 meV per atom.